1.
{"formula": "Li3Ca2Zn12Ir", "functional": "GGA-PBE", "state": "relaxed", "final_energy_ev_per_atom": -1.936, "m_tot_mub_per_fu": 0.0, "lattice": [[10.114, 2.229, 1.581], [6.933, 7.694, 1.581], [6.933, 4.036, 6.739]], "species": ["Li", "Li", "Zn", "Zn", "Zn", "Zn", "Zn", "Zn", "Ir", "Li", "Zn", "Zn", "Ca", "Zn", "Zn", "Ca", "Zn", "Zn"], "frac_coords": [[0.000, 0.000, 0.500], [0.500, 0.000, 0.000], [0.418, 0.816, 0.418], [0.582, 0.582, 0.184], [0.582, 0.184, 0.582], [0.919, 0.362, 0.919], [0.081, 0.081, 0.638], [0.184, 0.582, 0.582], [0.000, 0.000, 0.000], [0.000, 0.500, 0.000], [0.816, 0.418, 0.418], [0.418, 0.418, 0.816], [0.647, 0.647, 0.647], [0.919, 0.919, 0.362], [0.362, 0.919, 0.919], [0.353, 0.353, 0.353], [0.081, 0.638, 0.081], [0.638, 0.081, 0.081]]}


2.
{"formula": "LiCa2ZnIr", "functional": "GGA-PBE", "state": "relaxed", "final_energy_ev_per_atom": -3.309, "m_tot_mub_per_fu": 0.0, "lattice": [[-4.382, 2.235, -2.325], [-0.110, -4.024, -3.660], [-2.929, -2.636, 2.986]], "species": ["Zn", "Ca", "Ca", "Li", "Ir"], "frac_coords": [[0.000, 0.000, 0.500], [0.500, 0.000, 0.000], [0.000, 0.500, 0.000], [0.500, 0.500, 0.500], [0.000, 0.000, 0.000]]}


3.
{"formula": "LiCaZrIr", "functional": "GGA-PBE", "state": "relaxed", "final_energy_ev_per_atom": -5.616, "m_tot_mub_per_fu": 0.0, "lattice": [[-2.667, -3.861, 0.929], [-0.918, -3.164, -3.468], [2.023, -4.333, 0.119]], "species": ["Ca", "Ir", "Li", "Zr"], "frac_coords": [[0.250, 0.250, 0.250], [0.500, 0.500, 0.500], [0.000, 0.000, 0.000], [0.750, 0.750, 0.750]]}


4.
{"formula": "CaLu3Ir", "functional": "GGA-PBE", "state": "relaxed", "final_energy_ev_per_atom": -5.257, "m_tot_mub_per_fu": 0.0, "lattice": [[5.369, 0.000, 0.000], [0.000, 5.369, 0.000], [0.000, 0.000, 5.369]], "species": ["Ir", "Lu", "Lu", "Lu", "Ca"], "frac_coords": [[0.000, 0.000, 0.000], [0.000, 0.000, 0.500], [0.000, 0.500, 0.000], [0.500, 0.000, 0.000], [0.500, 0.500, 0.500]]}


5.
{"formula": "CaLuIr2", "functional": "GGA-PBE", "state": "relaxed", "final_energy_ev_per_atom": -6.641, "m_tot_mub_per_fu": 0.0, "lattice": [[-2.168, -2.570, -0.009], [0.330, -0.267, -3.336], [5.215, -4.403, 0.869]], "species": ["Ir", "Ca", "Ir", "Lu"], "frac_coords": [[0.000, 0.000, 0.769], [0.500, 0.500, 0.500], [0.000, 0.000, 0.231], [0.500, 0.500, 0.000]]}


6.
{"formula": "CaLuIr2", "functional": "GGA-PBE", "state": "relaxed", "final_energy_ev_per_atom": -6.604, "m_tot_mub_per_fu": 0.0, "lattice": [[-1.122, -3.061, 3.477], [1.224, -4.591, -0.379], [3.421, -1.793, 2.793]], "species": ["Lu", "Ir", "Ca", "Ir"], "frac_coords": [[0.000, 0.000, 0.000], [0.250, 0.250, 0.250], [0.500, 0.500, 0.500], [0.750, 0.750, 0.750]]}


7.
{"formula": "CaLuNiIr", "functional": "GGA-PBE", "state": "relaxed", "final_energy_ev_per_atom": -5.719, "m_tot_mub_per_fu": 0.0, "lattice": [[-3.762, 2.412, -1.622], [-4.299, -0.753, 1.884], [-2.028, 3.341, 2.706]], "species": ["Ir", "Ca", "Ni", "Lu"], "frac_coords": [[0.250, 0.250, 0.250], [0.000, 0.000, 0.000], [0.750, 0.750, 0.750], [0.500, 0.500, 0.500]]}


8.
{"formula": "CaLuIrPd", "functional": "GGA-PBE", "state": "relaxed", "final_energy_ev_per_atom": -5.868, "m_tot_mub_per_fu": 0.0, "lattice": [[4.831, 0.000, 0.000], [2.415, 4.184, 0.000], [2.415, 1.395, 3.944]], "species": ["Ca", "Ir", "Pd", "Lu"], "frac_coords": [[0.250, 0.250, 0.250], [0.000, 0.000, 0.000], [0.500, 0.500, 0.500], [0.750, 0.750, 0.750]]}


9.
{"formula": "CaLuTlIr", "functional": "GGA-PBE", "state": "relaxed", "final_energy_ev_per_atom": -4.797, "m_tot_mub_per_fu": 0.0, "lattice": [[-0.468, -2.846, 4.133], [-3.473, -3.648, 0.168], [1.417, -4.835, -0.096]], "species": ["Ir", "Tl", "Lu", "Ca"], "frac_coords": [[0.000, 0.000, 0.000], [0.500, 0.500, 0.500], [0.750, 0.750, 0.750], [0.250, 0.250, 0.250]]}


10.
{"formula": "CaMgIr", "functional": "GGA-PBE", "state": "relaxed", "final_energy_ev_per_atom": -4.330, "m_tot_mub_per_fu": 0.0, "lattice": [[-0.849, 4.366, 1.145], [1.070, -3.061, 3.253], [3.332, 0.750, -0.391]], "species": ["Ca", "Mg", "Ir"], "frac_coords": [[0.000, 0.000, 0.000], [0.667, 0.333, 0.505], [0.333, 0.667, 0.495]]}


11.
{"formula": "CaMgIr", "functional": "GGA-PBE", "state": "relaxed", "final_energy_ev_per_atom": -4.395, "m_tot_mub_per_fu": 0.0, "lattice": [[6.143, -0.078, 0.084], [5.260, 3.174, 0.081], [0.883, 0.243, 3.244]], "species": ["Ir", "Mg", "Ca"], "frac_coords": [[0.317, 0.317, 0.683], [0.708, 0.708, 0.291], [0.975, 0.975, 0.025]]}


12.
{"formula": "CaMgIr", "functional": "GGA-PBE", "state": "relaxed", "final_energy_ev_per_atom": -3.589, "m_tot_mub_per_fu": 0.0, "lattice": [[4.684, 0.000, 0.000], [2.342, 4.056, 0.000], [2.342, 1.352, 3.825]], "species": ["Mg", "Ca", "Ir"], "frac_coords": [[0.500, 0.500, 0.500], [0.750, 0.750, 0.750], [0.000, 0.000, 0.000]]}


13.
{"formula": "Ca2MgIr2", "functional": "GGA-PBE", "state": "relaxed", "final_energy_ev_per_atom": -5.019, "m_tot_mub_per_fu": 0.0, "lattice": [[5.660, 0.000, 0.000], [-2.830, 4.979, 0.121], [0.000, -2.094, 7.783]], "species": ["Ir", "Ca", "Ca", "Ir", "Ca", "Mg", "Ir", "Ir", "Mg", "Ca"], "frac_coords": [[0.022, 0.729, 0.995], [0.498, 0.701, 0.851], [0.797, 0.299, 0.649], [0.978, 0.271, 0.005], [0.203, 0.701, 0.351], [0.883, 0.000, 0.250], [0.707, 0.729, 0.495], [0.293, 0.271, 0.505], [0.117, 0.000, 0.750], [0.502, 0.299, 0.149]]}


14.
{"formula": "CaMgIr", "functional": "GGA-PBE", "state": "relaxed", "final_energy_ev_per_atom": -4.464, "m_tot_mub_per_fu": 0.0, "lattice": [[-3.803, 3.812, 1.128], [0.268, -1.803, -5.191], [-0.795, -4.923, 2.323]], "species": ["Mg", "Ca", "Mg", "Ca", "Ir", "Ir"], "frac_coords": [[0.500, 0.000, 0.000], [0.750, 0.851, 0.601], [0.000, 0.500, 0.000], [0.250, 0.149, 0.399], [0.000, 0.500, 0.500], [0.500, 0.500, 0.000]]}


15.
{"formula": "Ca2Mg5Ir4", "functional": "GGA-PBE", "state": "relaxed", "final_energy_ev_per_atom": -4.444, "m_tot_mub_per_fu": 0.0, "lattice": [[5.875, 0.000, 0.000], [2.937, 6.559, 0.731], [2.937, 2.346, 7.035]], "species": ["Mg", "Ir", "Mg", "Ir", "Ir", "Ir", "Ca", "Mg", "Mg", "Mg", "Ca"], "frac_coords": [[0.860, 0.680, 0.097], [0.581, 0.007, 0.831], [0.636, 0.320, 0.903], [0.783, 0.678, 0.757], [0.419, 0.993, 0.169], [0.217, 0.322, 0.243], [0.746, 0.137, 0.371], [0.000, 0.500, 0.500], [0.364, 0.680, 0.097], [0.140, 0.320, 0.903], [0.254, 0.863, 0.629]]}


16.
{"formula": "CaMg3Ir", "functional": "GGA-PBE", "state": "relaxed", "final_energy_ev_per_atom": -3.301, "m_tot_mub_per_fu": 0.0, "lattice": [[5.036, 0.000, 0.000], [0.000, 5.036, 0.000], [0.000, 0.000, 5.036]], "species": ["Ir", "Mg", "Ca", "Mg", "Mg"], "frac_coords": [[0.000, 0.000, 0.000], [0.000, 0.500, 0.000], [0.500, 0.500, 0.500], [0.500, 0.000, 0.000], [0.000, 0.000, 0.500]]}


17.
{"formula": "CaMgIr", "functional": "GGA-PBE", "state": "relaxed", "final_energy_ev_per_atom": -4.271, "m_tot_mub_per_fu": 0.0, "lattice": [[4.650, 0.000, 0.000], [2.325, 4.027, 0.000], [2.325, 1.342, 3.796]], "species": ["Ir", "Ca", "Mg"], "frac_coords": [[0.750, 0.750, 0.750], [0.500, 0.500, 0.500], [0.000, 0.000, 0.000]]}


18.
{"formula": "Ca8Mg2Ir", "functional": "GGA-PBE", "state": "relaxed", "final_energy_ev_per_atom": -2.656, "m_tot_mub_per_fu": 0.0, "lattice": [[-0.176, -5.421, 1.471], [7.213, -0.099, 0.496], [-3.843, 5.143, 7.761]], "species": ["Mg", "Ir", "Mg", "Ca", "Ca", "Ca", "Ca", "Ca", "Ca", "Ca", "Ca"], "frac_coords": [[0.182, 0.723, 0.364], [0.500, 0.000, 0.000], [0.818, 0.277, 0.636], [0.793, 0.716, 0.585], [0.362, 0.052, 0.723], [0.016, 0.793, 0.031], [0.984, 0.207, 0.969], [0.207, 0.284, 0.415], [0.638, 0.948, 0.277], [0.592, 0.405, 0.184], [0.408, 0.595, 0.816]]}


19.
{"formula": "CaMg3Ir", "functional": "GGA-PBE", "state": "relaxed", "final_energy_ev_per_atom": -1.329, "m_tot_mub_per_fu": 1.0, "lattice": [[-3.662, 3.939, 0.814], [-3.953, -3.728, 0.260], [0.746, -0.417, 5.372]], "species": ["Mg", "Mg", "Ca", "Mg", "Ir"], "frac_coords": [[0.500, 0.000, 0.000], [0.000, 0.500, 0.000], [0.000, 0.000, 0.000], [0.000, 0.000, 0.500], [0.500, 0.500, 0.500]]}


20.
{"formula": "Ca2MgIr2", "functional": "GGA-PBE", "state": "relaxed", "final_energy_ev_per_atom": -4.962, "m_tot_mub_per_fu": 0.0, "lattice": [[6.986, 0.000, 0.000], [0.000, 6.986, 0.000], [0.000, 0.000, 4.469]], "species": ["Ir", "Ir", "Ca", "Ca", "Mg", "Ir", "Ca", "Ca", "Mg", "Ir"], "frac_coords": [[0.373, 0.873, 0.000], [0.127, 0.373, 0.000], [0.671, 0.829, 0.500], [0.829, 0.329, 0.500], [0.500, 0.500, 0.000], [0.627, 0.127, 0.000], [0.329, 0.171, 0.500], [0.171, 0.671, 0.500], [0.000, 0.000, 0.000], [0.873, 0.627, 0.000]]}


21.
{"formula": "CaMgIr", "functional": "GGA-PBE", "state": "relaxed", "final_energy_ev_per_atom": -4.413, "m_tot_mub_per_fu": 0.0, "lattice": [[-0.669, -4.835, 3.456], [-1.375, -1.109, -6.993], [6.855, -1.718, -1.075]], "species": ["Ir", "Ca", "Ca", "Mg", "Ca", "Mg", "Ca", "Ir", "Ir", "Ir", "Mg", "Mg"], "frac_coords": [[0.098, 0.196, 0.965], [0.807, 0.614, 0.402], [0.307, 0.614, 0.098], [0.283, 0.067, 0.250], [0.693, 0.386, 0.902], [0.717, 0.933, 0.750], [0.193, 0.386, 0.598], [0.902, 0.804, 0.035], [0.598, 0.196, 0.535], [0.402, 0.804, 0.465], [0.217, 0.933, 0.750], [0.783, 0.067, 0.250]]}


22.
{"formula": "CaMg3Ir", "functional": "GGA-PBE", "state": "relaxed", "final_energy_ev_per_atom": -3.358, "m_tot_mub_per_fu": 0.0, "lattice": [[5.195, 0.000, -2.202], [0.000, 5.981, 0.000], [-0.239, 0.000, 7.507]], "species": ["Ir", "Ca", "Mg", "Mg", "Mg", "Mg", "Ca", "Ir", "Mg", "Mg"], "frac_coords": [[0.131, 0.948, 0.742], [0.327, 0.448, 0.680], [0.743, 0.696, 0.491], [0.291, 0.699, 0.069], [0.860, 0.448, 0.154], [0.743, 0.199, 0.491], [0.707, 0.948, 0.881], [0.903, 0.448, 0.819], [0.291, 0.196, 0.069], [0.175, 0.948, 0.407]]}


23.
{"formula": "Ca3Mg9Ir2", "functional": "GGA-PBE", "state": "relaxed", "final_energy_ev_per_atom": -2.871, "m_tot_mub_per_fu": 0.0, "lattice": [[4.537, 0.000, 1.158], [1.932, 8.341, 1.898], [0.184, -0.586, 8.748]], "species": ["Ir", "Mg", "Mg", "Mg", "Mg", "Mg", "Mg", "Ca", "Mg", "Mg", "Ir", "Ca", "Mg", "Ca"], "frac_coords": [[0.500, 0.664, 0.336], [0.880, 0.407, 0.833], [0.000, 0.500, 0.500], [0.880, 0.833, 0.407], [0.368, 0.274, 0.990], [0.120, 0.593, 0.167], [0.368, 0.990, 0.274], [0.691, 0.309, 0.309], [0.632, 0.010, 0.726], [0.120, 0.167, 0.593], [0.500, 0.336, 0.664], [0.309, 0.691, 0.691], [0.632, 0.726, 0.010], [0.000, 0.000, 0.000]]}


24.
{"formula": "Ca6Mg2Ir", "functional": "GGA-PBE", "state": "relaxed", "final_energy_ev_per_atom": -2.792, "m_tot_mub_per_fu": 0.0, "lattice": [[-2.744, -4.348, 5.635], [6.046, 1.766, 4.306], [-5.344, 8.555, 3.994]], "species": ["Ca", "Mg", "Ca", "Ca", "Ca", "Ir", "Ca", "Mg", "Ca", "Ca", "Ca", "Mg", "Ca", "Ir", "Ca", "Ca", "Ca", "Mg"], "frac_coords": [[0.254, 0.249, 0.499], [0.999, 0.499, 0.250], [0.246, 0.749, 0.001], [0.749, 0.755, 0.999], [0.999, 0.000, 0.249], [0.000, 0.000, 0.500], [0.249, 0.745, 0.499], [0.001, 0.501, 0.750], [0.499, 0.500, 0.749], [0.754, 0.251, 0.999], [0.746, 0.751, 0.501], [0.501, 0.999, 0.250], [0.251, 0.245, 0.001], [0.500, 0.500, 0.000], [0.751, 0.255, 0.501], [0.001, 0.000, 0.751], [0.501, 0.500, 0.251], [0.499, 0.001, 0.750]]}


25.
{"formula": "CaMgIr", "functional": "GGA-PBE", "state": "relaxed", "final_energy_ev_per_atom": -4.067, "m_tot_mub_per_fu": 0.0, "lattice": [[-2.205, 1.334, -1.907], [1.198, -2.887, -0.711], [-5.174, -3.088, 3.822]], "species": ["Mg", "Ca", "Ir"], "frac_coords": [[0.333, 0.667, 0.620], [0.000, 0.000, 0.038], [0.667, 0.333, 0.342]]}